Below is crystalline Fe2SnC at its relaxed geometry, with properties calculated at the GGA-PBEsol level.

Cell lengths 4.0173, 4.0173, 4.0173 Å; angles 60.00, 60.00, 60.00 degrees
Atoms (fractional coordinates):
Fe: 0.2500 0.2500 0.2500
Fe: 0.7500 0.7500 0.7500
Sn: 0.0000 0.0000 0.0000
C: 0.5000 0.5000 0.5000

Energy of formation in kJ/mol of formula units: 487
SG: Fm-3m, No. 225
Total magnetic moment in μB/f.u.: 0.00